Compound: CaBi3Pd
Source: Alexandria
Functional: PBE
Structure: relaxed

Lattice parameters (Å, degrees): 5.748 5.748 5.748 90.00 90.00 90.00
Element x y z (fractional)
1 Bi 0.000 0.000 0.500
2 Bi 0.000 0.500 0.000
3 Ca 0.000 0.000 0.000
4 Bi 0.500 0.000 0.000
5 Pd 0.500 0.500 0.500

Calculated formation energy = 815 meV/atom
Density = 6.8 Mg/m³
Distance to the lowest polymorph of the same formula = 1219.8 meV per atom
Crystal system = cubic
Total energy = -14.76 eV/cell